The following is a DFT calculation (PBE) of a relaxed structure of La2HoZn3.

M_tot, Bohr magnetons per cell: 0.00
E above lowest polymorph, eV/atom: 0.004
DFT formation energy, eV per atom: -0.308
SG: P-3m1 (164)

Cell lengths 5.221, 5.221, 6.423 Å; angles 90.00, 90.00, 120.00 degrees
Fractional coordinates of all 6 atoms:
La: 0.333 0.667 0.177
La: 0.667 0.333 0.823
Ho: 0.000 0.000 0.500
Zn: 0.000 0.000 0.000
Zn: 0.333 0.667 0.661
Zn: 0.667 0.333 0.339